First-principles (GGA-PBE) data for an optimized crystal structure of SmNpRh2, as listed in Alexandria via LeMat-Bulk.

## Properties
- Energy of formation from the pure elements: -0.4188 eV per atom
- Magnetization: 13.5 μB/cell

abc: 6.9030 6.9030 6.9030
angles: 90.00 90.00 90.00
Closest atoms and distances in Å follow each position.
Space group Fm-3m (No. 225)
Unique sites:
Sm 0.0000 0.0000 0.0000 x4  8 Rh 2.99
Np 0.0000 0.0000 0.5000 x4  8 Rh 2.99
Rh 0.2500 0.2500 0.2500 x8  4 Np 2.99, 4 Sm 2.99

---

First-principles (GGA-PBE) data for an optimized crystal structure of Sm2NpZn2Rh5, as listed in Alexandria via LeMat-Bulk.

## Properties
- Energy of formation from the pure elements: -0.5729 eV per atom
- Magnetization: 5.2 μB/cell

abc: 9.8942 9.8942 3.6916
angles: 90.00 90.00 90.00
Closest atoms and distances in Å follow each position.
Space group P4/mbm (No. 127)
Unique sites:
Sm 0.1702 0.3298 0.0000 x4  3 Zn 2.87-2.95, 6 Rh 3.01-3.20
Np 0.0000 0.0000 0.0000 x2  8 Rh 2.80
Zn 0.1250 0.6250 0.0000 x4  6 Rh 2.54-2.58
Rh 0.0000 0.5000 0.5000 x2  4 Zn 2.54
Rh 0.0676 0.7981 0.5000 x8  2 Zn 2.58, 2 Np 2.80

---

First-principles (GGA-PBE) data for an optimized crystal structure of NpSn4Rh7, as listed in Alexandria via LeMat-Bulk.

## Properties
- Energy of formation from the pure elements: -0.2903 eV per atom
- Magnetization: 4.5 μB/cell

abc: 12.1995 4.8230 9.5933
angles: 90.00 126.73 90.00
Closest atoms and distances in Å follow each position.
Space group C2/m (No. 12)
Unique sites:
Np 0.0000 0.0000 0.0000 x2  4 Rh 2.41-2.47
Sn 0.0910 0.5000 0.7828 x4  8 Rh 2.63-2.89
Sn 0.2285 0.5000 0.3462 x4  6 Rh 2.58-2.78
Rh 0.0000 0.5000 0.0000 x2  2 Np 2.41
Rh 0.0661 0.0000 0.2989 x4  1 Np 2.47
Rh 0.1408 0.5000 0.5458 x4  5 Sn 2.68-2.73, 2 Rh 2.94-2.99
Rh 0.2200 0.0000 0.8787 x4  4 Sn 2.58-2.72, 2 Rh 2.82-2.88

---

First-principles (GGA-PBE) data for an optimized crystal structure of NpSnRh, as listed in Alexandria via LeMat-Bulk.

## Properties
- Energy of formation from the pure elements: -0.2374 eV per atom
- Magnetization: 7.9 μB/cell

abc: 3.2080 3.2080 11.9416
angles: 90.00 90.00 90.00
Closest atoms and distances in Å follow each position.
Space group I4mm (No. 107)
Unique sites:
Np 0.0000 0.0000 0.0000 x2  4 Rh 2.98, 4 Np 3.21, 4 Sn 3.31
Sn 0.0000 0.0000 0.2985 x2  4 Rh 2.79
Rh 0.0000 0.0000 0.6620 x2  4 Sn 2.79, 4 Np 2.98

---

First-principles (GGA-PBE) data for an optimized crystal structure of NpSnRh3, as listed in Alexandria via LeMat-Bulk.

## Properties
- Energy of formation from the pure elements: -0.3367 eV per atom
- Magnetization: 11.1 μB/cell

abc: 14.0782 4.7667 5.6207
angles: 90.00 109.71 90.00
Closest atoms and distances in Å follow each position.
Space group C2/m (No. 12)
Unique sites:
Np 0.0895 0.0000 0.3739 x4  7 Rh 2.66-2.97
Sn 0.1833 0.5000 0.1338 x4  9 Rh 2.71-2.95
Rh 0.0030 0.5000 0.2555 x4  2 Np 2.66, 5 Rh 2.78-2.94, 2 Sn 2.79-2.84
Rh 0.1266 0.0000 0.8848 x4  3 Sn 2.71-2.74, 3 Np 2.74-2.97, 3 Rh 2.94-2.96
Rh 0.1965 0.5000 0.6439 x4  4 Sn 2.81-2.95, 5 Rh 2.86-3.06, 3 Np 2.95-3.05

---

First-principles (GGA-PBE) data for an optimized crystal structure of NpSnRh, as listed in Alexandria via LeMat-Bulk.

## Properties
- Energy of formation from the pure elements: -0.2441 eV per atom
- Magnetization: 3.6 μB/cell

abc: 4.7918 4.7918 3.0892
angles: 90.00 90.00 120.00
Closest atoms and distances in Å follow each position.
Space group P-6m2 (No. 187)
Unique sites:
Np 0.0000 0.0000 0.0000 x1  2 Np 3.09, 6 Sn 3.17, 6 Rh 3.17
Sn 0.3333 0.6667 0.5000 x1  3 Rh 2.77, 2 Sn 3.09
Rh 0.6667 0.3333 0.5000 x1  3 Sn 2.77, 2 Rh 3.09

---

First-principles (GGA-PBE) data for an optimized crystal structure of NpSn2Rh2, as listed in Alexandria via LeMat-Bulk.

## Properties
- Energy of formation from the pure elements: -0.3116 eV per atom
- Magnetization: 7.5 μB/cell

abc: 5.6028 4.3334 8.3724
angles: 90.00 90.00 90.00
Closest atoms and distances in Å follow each position.
Space group Pmma (No. 51)
Unique sites:
Np 0.0000 0.0000 0.0000 x2  2 Np 2.80, 4 Rh 3.04
Sn 0.2500 0.0000 0.3915 x2  6 Rh 2.74
Sn 0.2500 0.5000 0.7780 x2  4 Rh 2.72-2.81
Rh 0.0000 0.5000 0.5000 x2  6 Sn 2.72-2.74, 4 Rh 2.80-2.93
Rh 0.2500 0.5000 0.1920 x2  4 Sn 2.74-2.81, 2 Rh 2.93, 4 Np 3.04

---

First-principles (GGA-PBE) data for an optimized crystal structure of Np2Sn2Rh7, as listed in Alexandria via LeMat-Bulk.

## Properties
- Energy of formation from the pure elements: -0.1821 eV per atom
- Magnetization: 6.8 μB/cell

abc: 9.1800 6.8055 6.8159
angles: 90.00 102.22 90.00
Closest atoms and distances in Å follow each position.
Space group C2/m (No. 12)
Unique sites:
Np 0.2487 0.0000 0.4024 x4  4 Rh 2.44-2.59
Sn 0.0000 0.2304 0.0000 x4  6 Rh 2.70-2.76
Rh 0.0000 0.0000 0.5000 x2  2 Np 2.51, 4 Rh 2.81
Rh 0.0246 0.5000 0.2968 x4  2 Np 2.59-2.78, 2 Sn 2.70, 3 Rh 2.90
Rh 0.2158 0.2027 0.7810 x8  1 Np 2.44, 1 Sn 2.73

---

First-principles (GGA-PBE) data for an optimized crystal structure of SrNpRh2, as listed in Alexandria via LeMat-Bulk.

## Properties
- Energy of formation from the pure elements: -0.2663 eV per atom
- Magnetization: 2.8 μB/cell

abc: 3.4087 3.4087 7.5609
angles: 90.00 90.00 90.00
Closest atoms and distances in Å follow each position.
Space group P4/mmm (No. 123)
Unique sites:
Sr 0.0000 0.0000 0.0000 x1  8 Rh 3.31, 4 Sr 3.41
Np 0.0000 0.0000 0.5000 x1  8 Rh 2.84
Rh 0.5000 0.5000 0.3006 x2  4 Np 2.84, 1 Rh 3.01

---

First-principles (GGA-PBE) data for an optimized crystal structure of SrNpRh, as listed in Alexandria via LeMat-Bulk.

## Properties
- Energy of formation from the pure elements: -0.0732 eV per atom
- Magnetization: 8.3 μB/cell

abc: 4.5851 4.5851 8.0856
angles: 90.00 90.00 90.00
Closest atoms and distances in Å follow each position.
Space group P4/nmm (No. 129, origin choice 2)
Unique sites:
Sr 0.2500 0.2500 0.1370 x2  5 Rh 3.50-3.54, 4 Np 3.72
Np 0.2500 0.7500 0.5000 x2  4 Rh 2.80
Rh 0.2500 0.2500 0.6989 x2  4 Np 2.80

---

First-principles (GGA-PBE) data for an optimized crystal structure of SrNpRh2, as listed in Alexandria via LeMat-Bulk.

## Properties
- Energy of formation from the pure elements: -0.1549 eV per atom
- Magnetization: 8.5 μB/cell

abc: 3.9110 3.9110 21.9954
angles: 90.00 90.00 120.00
Closest atoms and distances in Å follow each position.
Space group R-3m (No. 166, hexagonal axes)
Unique sites:
Sr 0.0000 0.0000 0.0000 x3  6 Rh 3.15
Np 0.0000 0.0000 0.5000 x3  6 Rh 2.69
Rh 0.0000 0.0000 0.2332 x6  3 Np 2.69

---

First-principles (GGA-PBE) data for an optimized crystal structure of SrNpRh4, as listed in Alexandria via LeMat-Bulk.

## Properties
- Energy of formation from the pure elements: -0.2521 eV per atom
- Magnetization: 12.8 μB/cell

abc: 7.6206 7.6206 7.6206
angles: 90.00 90.00 90.00
Closest atoms and distances in Å follow each position.
Space group F-43m (No. 216)
Unique sites:
Sr 0.0000 0.0000 0.0000 x4  12 Rh 3.16, 4 Np 3.30
Np 0.2500 0.2500 0.7500 x4  12 Rh 3.16, 4 Sr 3.30
Rh 0.1246 0.1246 0.3754 x16  6 Rh 2.69-2.70

---

no.,DOS(E_F) (states/eV/atom)
1,1.72
2,1.28
3,1.06
4,1.80
5,1.62
6,1.89
7,1.35
8,1.23
9,1.90
10,1.83
11,1.80
12,1.77